Record 1
Computed, not measured: a relaxed structure of Sr2PuN4 at the PBE level of DFT.

```
data_Sr2PuN4
_space_group_name_H-M_alt 'P -1'
_space_group_IT_number 2
_cell_length_a 4.2612
_cell_length_b 4.4774
_cell_length_c 6.0985
_cell_angle_alpha 73.55
_cell_angle_beta 89.83
_cell_angle_gamma 89.96
loop_
_space_group_symop_operation_xyz
'x,y,z'
'-x,-y,-z'
loop_
_atom_site_label
_atom_site_type_symbol
_atom_site_fract_x
_atom_site_fract_y
_atom_site_fract_z
Sr1 Sr 0.0021 0.1509 0.2173
Pu1 Pu 0.5000 0.5000 0.5000
N1 N 0.0000 0.5000 0.5000
N2 N 0.4992 0.4541 0.9075
N3 N 0.5000 0.0000 0.5000
```

**Total energy**: -7.988 eV per atom
**Raw formation energy**: -0.703 eV per atom
**Crystal system**: triclinic

---

Record 2
Computed, not measured: a relaxed structure of Li5In2Sn2 at the PBE level of DFT.

```
data_Li5In2Sn2
_space_group_name_H-M_alt 'C m c e'
_space_group_IT_number 64
_space_group_name_Hall '-C 2ac 2'
_cell_length_a 13.9744
_cell_length_b 7.5016
_cell_length_c 7.2731
_cell_angle_alpha 90.00
_cell_angle_beta 90.00
_cell_angle_gamma 90.00
loop_
_atom_site_label
_atom_site_type_symbol
_atom_site_fract_x
_atom_site_fract_y
_atom_site_fract_z
Li1 Li 0.0000 0.0000 0.0000
Li2 Li 0.1421 0.1660 0.3335
In1 In 0.0000 0.1425 0.6436
Sn1 Sn 0.2007 0.0000 0.0000
```

**Total energy**: -2.723 eV per atom
**Formation enthalpy at 0 K**: -0.1619 eV/atom
**Crystal system**: orthorhombic

---

Record 3
Computed, not measured: a relaxed structure of HoPu3 at the PBE level of DFT.

```
data_HoPu3
_space_group_name_H-M_alt 'P m -3 m'
_space_group_IT_number 221
_space_group_name_Hall '-P 4 2 3'
_cell_length_a 4.8076
_cell_length_b 4.8076
_cell_length_c 4.8076
_cell_angle_alpha 90.00
_cell_angle_beta 90.00
_cell_angle_gamma 90.00
loop_
_atom_site_label
_atom_site_type_symbol
_atom_site_fract_x
_atom_site_fract_y
_atom_site_fract_z
Ho1 Ho 0.0000 0.0000 0.0000
Pu1 Pu 0.0000 0.5000 0.5000
```

**Total energy**: -11.644 eV per atom
**Formation enthalpy at 0 K**: 0.2498 eV/atom
**Relative energy among the computed polymorphs**: 0.000 eV/f.u.
**Crystal system**: cubic

---

| no. | Fermi-level density of states (states/eV per atom) |
| --- | --- |
| 1 | 0.75 |
| 2 | 0.39 |
| 3 | 3.98 |